[1]
Computed, not measured: an optimized crystal structure of K2GaMoPd at the GGA-PBE level of DFT.

Unit cell a=6.1345 b=6.1345 c=4.8771 alpha=90.00 beta=90.00 gamma=90.00
Space group P4/mmm (No. 123)
Symmetry-distinct sites (fractional):
K: 0.0000 0.5000 0.0000 (multiplicity 2)
Ga: 0.0000 0.0000 0.5000 (multiplicity 1)
Mo: 0.5000 0.5000 0.5000 (multiplicity 1)
Pd: 0.0000 0.0000 0.0000 (multiplicity 1)


[2]
Computed, not measured: an optimized crystal structure of KGaSn2Mo at the GGA-PBE level of DFT.

Unit cell a=5.2789 b=5.2789 c=5.1074 alpha=90.00 beta=90.00 gamma=90.00
Space group P4/mmm (No. 123)
Symmetry-distinct sites (fractional):
K: 0.0000 0.0000 0.0000 (multiplicity 1)
Ga: 0.5000 0.5000 0.0000 (multiplicity 1)
Sn: 0.0000 0.5000 0.5000 (multiplicity 2)
Mo: 0.5000 0.5000 0.5000 (multiplicity 1)


Number 1: total DFT energy (no corrections) -3.30 eV per atom, energy of formation 0.95 eV per atom. Number 2: total DFT energy (no corrections) -4.60 eV per atom, energy of formation -0.01 eV per atom.